No. 1
The following is a PBEsol calculation of a geometry-optimized TlHg2Te structure, from Alexandria via LeMat-Bulk.

For the size of the total moment, the calculation gives 0.000 μB/atom. The value obtained for the energy above the lowest structure with this stoichiometry is 0.0000 eV/atom. As for the symmetry: No. 216. As for the raw formation energy: -48 meV/atom. Its final energy is -7.5 eV per cell.

Lattice parameters (Å, degrees): 5.344 5.344 5.344 60.00 60.00 60.00
Positions (direct):
Tl (0.000, 0.000, 0.000)
Hg (0.500, 0.500, 0.500)
Hg (0.750, 0.750, 0.750)
Te (0.250, 0.250, 0.250)



No. 2
The following is a PBEsol calculation of a geometry-optimized Tl2HgTe structure, from Alexandria via LeMat-Bulk.

For the size of the total moment, the calculation gives 0.000 μB/atom. The value obtained for the energy above the lowest structure with this stoichiometry is 0.0000 eV/atom. As for the symmetry: No. 12. As for the raw formation energy: -156 meV/atom. Its final energy is -10.0 eV per cell.

Lattice parameters (Å, degrees): 4.979 4.979 6.412 112.79 112.79 59.78
Positions (direct):
Tl (0.245, 0.245, 0.236)
Tl (0.755, 0.755, 0.764)
Hg (0.500, 0.500, 0.000)
Te (0.000, 0.000, 0.500)



No. 3
The following is a PBEsol calculation of a geometry-optimized Tl2HgTe structure, from Alexandria via LeMat-Bulk.

For the size of the total moment, the calculation gives 0.000 μB/atom. The value obtained for the energy above the lowest structure with this stoichiometry is 0.0054 eV/atom. As for the symmetry: No. 225. As for the raw formation energy: -151 meV/atom. Its final energy is -10.0 eV per cell.

Lattice parameters (Å, degrees): 5.516 5.516 5.516 60.00 60.00 60.00
Positions (direct):
Tl (0.250, 0.250, 0.250)
Tl (0.750, 0.750, 0.750)
Hg (0.000, 0.000, 0.000)
Te (0.500, 0.500, 0.500)



No. 4
The following is a PBEsol calculation of a geometry-optimized TlHg2Te structure, from Alexandria via LeMat-Bulk.

For the size of the total moment, the calculation gives 0.000 μB/atom. The value obtained for the energy above the lowest structure with this stoichiometry is 0.0038 eV/atom. As for the symmetry: No. 44. As for the raw formation energy: -44 meV/atom. Its final energy is -7.5 eV per cell.

Lattice parameters (Å, degrees): 6.700 6.700 6.700 142.97 142.57 53.67
Positions (direct):
Tl (0.000, 0.000, 0.000)
Hg (0.449, 0.449, 0.000)
Hg (0.731, 0.231, 0.500)
Te (0.225, 0.725, 0.500)



No. 5
The following is a PBEsol calculation of a geometry-optimized TlHgTe2 structure, from Alexandria via LeMat-Bulk.

For the size of the total moment, the calculation gives 0.000 μB/atom. As for the symmetry: No. 10. As for the raw formation energy: -22 meV/atom. Its final energy is -10.3 eV per cell.

Lattice parameters (Å, degrees): 3.166 5.850 6.256 90.00 100.91 90.00
Positions (direct):
Tl (0.000, 0.000, 0.000)
Hg (0.000, 0.000, 0.500)
Te (0.500, 0.500, 0.249)
Te (0.500, 0.500, 0.751)



No. 6
The following is a PBEsol calculation of a geometry-optimized Tl2HgTe structure, from Alexandria via LeMat-Bulk.

For the size of the total moment, the calculation gives 0.000 μB/atom. The value obtained for the energy above the lowest structure with this stoichiometry is 0.0910 eV/atom. As for the symmetry: No. 216. As for the raw formation energy: -65 meV/atom. Its final energy is -9.6 eV per cell.

Lattice parameters (Å, degrees): 5.443 5.443 5.443 60.00 60.00 60.00
Positions (direct):
Tl (0.000, 0.000, 0.000)
Tl (0.250, 0.250, 0.250)
Hg (0.750, 0.750, 0.750)
Te (0.500, 0.500, 0.500)



No. 7
The following is a PBEsol calculation of a geometry-optimized TlHgTe2 structure, from Alexandria via LeMat-Bulk.

For the size of the total moment, the calculation gives 0.000 μB/atom. As for the symmetry: No. 35. As for the raw formation energy: 37 meV/atom. Its final energy is -10.1 eV per cell.

Lattice parameters (Å, degrees): 3.159 3.159 11.510 90.00 90.00 100.58
Positions (direct):
Tl (0.000, 0.000, 0.000)
Hg (0.500, 0.500, 0.234)
Te (0.000, 0.000, 0.468)
Te (0.500, 0.500, 0.763)



No. 8
The following is a PBEsol calculation of a geometry-optimized Tl4HgTe structure, from Alexandria via LeMat-Bulk.

For the size of the total moment, the calculation gives 0.000 μB/atom. As for the symmetry: No. 216. As for the raw formation energy: 72 meV/atom. Its final energy is -14.2 eV per cell.

Lattice parameters (Å, degrees): 6.339 6.339 6.339 60.00 60.00 60.00
Positions (direct):
Tl (0.125, 0.125, 0.125)
Tl (0.125, 0.125, 0.626)
Tl (0.125, 0.626, 0.125)
Tl (0.626, 0.125, 0.125)
Hg (0.500, 0.500, 0.500)
Te (0.750, 0.750, 0.750)



No. 9
The following is a PBEsol calculation of a geometry-optimized Tl2HgTe structure, from Alexandria via LeMat-Bulk.

For the size of the total moment, the calculation gives 0.000 μB/atom. The value obtained for the energy above the lowest structure with this stoichiometry is 0.0563 eV/atom. As for the symmetry: No. 122. As for the raw formation energy: -100 meV/atom. Its final energy is -19.5 eV per cell.

Lattice parameters (Å, degrees): 6.835 6.835 6.835 103.64 103.64 121.90
Positions (direct):
Tl (0.120, 0.625, 0.995)
Tl (0.375, 0.370, 0.495)
Tl (0.630, 0.125, 0.005)
Tl (0.875, 0.880, 0.505)
Hg (0.000, 0.000, 0.000)
Hg (0.750, 0.250, 0.500)
Te (0.250, 0.750, 0.500)
Te (0.500, 0.500, 0.000)



No. 10
The following is a PBEsol calculation of a geometry-optimized TlHg2Te structure, from Alexandria via LeMat-Bulk.

For the size of the total moment, the calculation gives 0.000 μB/atom. The value obtained for the energy above the lowest structure with this stoichiometry is 0.0775 eV/atom. As for the symmetry: No. 123. As for the raw formation energy: 30 meV/atom. Its final energy is -7.2 eV per cell.

Lattice parameters (Å, degrees): 3.514 3.514 8.508 90.00 90.00 90.00
Positions (direct):
Tl (0.000, 0.000, 0.000)
Hg (0.500, 0.500, 0.248)
Hg (0.500, 0.500, 0.752)
Te (0.000, 0.000, 0.500)



No. 11
The following is a PBEsol calculation of a geometry-optimized HgTe2W structure, from Alexandria via LeMat-Bulk.

For the size of the total moment, the calculation gives 0.156 μB/atom. As for the symmetry: No. 123. As for the raw formation energy: 907 meV/atom. Its final energy is -17.8 eV per cell.

Lattice parameters (Å, degrees): 5.033 5.033 3.402 90.00 90.00 90.00
Positions (direct):
Hg (0.000, 0.000, 0.000)
Te (0.000, 0.500, 0.500)
Te (0.500, 0.000, 0.500)
W (0.500, 0.500, 0.000)



No. 12
The following is a PBEsol calculation of a geometry-optimized HgTe4W structure, from Alexandria via LeMat-Bulk.

For the size of the total moment, the calculation gives 0.654 μB/atom. As for the symmetry: No. 216. As for the raw formation energy: 1254 meV/atom. Its final energy is -21.0 eV per cell.

Lattice parameters (Å, degrees): 6.176 6.176 6.176 60.00 60.00 60.00
Positions (direct):
Hg (0.000, 0.000, 0.000)
Te (0.376, 0.376, 0.376)
Te (0.376, 0.376, 0.872)
Te (0.376, 0.872, 0.376)
Te (0.872, 0.376, 0.376)
W (0.750, 0.750, 0.750)